No. 1
Ag2PRh (GGA-PBE, relaxed); symmetry = No. 122; formation enthalpy at 0 K = 28.06 kJ per mole of atoms
1.0
8.082 0.000 0.000
0.000 8.082 0.000
4.041 4.041 2.278
Ag Rh P
4 2 2
direct
0.211 0.625 0.250
0.875 0.789 0.750
0.539 0.125 0.250
0.375 0.461 0.750
0.750 0.250 0.500
0.000 0.000 0.000
0.500 0.500 0.000
0.250 0.750 0.500


No. 2
NdPdCl (GGA-PBE, relaxed); energy relative to the elements, uncorrected = -363 kJ/mol of formula units; symmetry = No. 12
1.0
-3.536 0.329 -1.717
-1.421 -7.622 1.465
-2.464 3.308 10.240
Cl Nd Pd
4 4 4
direct
0.911 0.657 0.822
0.564 0.839 0.127
0.436 0.161 0.873
0.089 0.343 0.178
0.352 0.404 0.703
0.648 0.596 0.297
0.652 0.114 0.305
0.348 0.886 0.695
0.755 0.376 0.511
0.749 0.875 0.498
0.251 0.125 0.502
0.245 0.624 0.489


No. 3
Hf2VSi (GGA-PBE, relaxed); energy relative to the elements, uncorrected = 134 kJ/mol of formula units; symmetry = No. 122
1.0
-5.913 3.473 2.850
-4.493 -4.544 -3.783
-5.212 -2.288 1.650
Hf Si V
4 2 2
direct
0.375 0.388 0.750
0.138 0.625 0.250
0.875 0.862 0.750
0.612 0.125 0.250
0.250 0.750 0.500
0.500 0.500 0.000
0.750 0.250 0.500
0.000 0.000 0.000


No. 4
Re2AuSe (GGA-PBE, relaxed); energy relative to the elements, uncorrected = 369 kJ/mol of formula units; symmetry = No. 216
1.0
4.536 0.000 0.000
2.268 3.928 0.000
2.268 1.309 3.704
Au Se Re
1 1 2
direct
0.500 0.500 0.500
0.750 0.750 0.750
0.000 0.000 0.000
0.250 0.250 0.250


No. 5
B2N (GGA-PBE, relaxed); relative energy among the computed polymorphs = 312 meV per atom; energy relative to the elements, uncorrected = -85 kJ/mol of formula units; symmetry = No. 8
1.0
4.828 0.000 -0.022
0.000 2.517 0.000
-2.775 0.000 7.085
N B
4 8
direct
0.610 0.500 0.962
0.610 0.000 0.462
0.316 0.500 0.619
0.316 0.000 0.119
0.088 0.000 0.901
0.088 0.500 0.401
0.265 0.000 0.306
0.729 0.500 0.402
0.729 0.000 0.902
0.265 0.500 0.806
0.506 0.500 0.128
0.506 0.000 0.628


No. 6
Tm2PuMn2 (GGA-PBE, relaxed); symmetry = No. 15; formation enthalpy at 0 K = -6.66 kJ per mole of atoms
1.0
5.660 0.000 0.000
-2.830 4.697 -1.166
0.000 0.255 7.616
Pu Tm Mn
2 4 4
direct
0.886 0.000 0.250
0.114 0.000 0.750
0.539 0.305 0.153
0.235 0.695 0.347
0.765 0.305 0.653
0.461 0.695 0.847
0.235 0.238 0.503
0.004 0.238 0.003
0.765 0.762 0.497
0.996 0.762 0.997


No. 7
MnCdSi (GGA-PBE, relaxed); relative energy among the computed polymorphs = 42 meV per atom; energy relative to the elements, uncorrected = 21 kJ/mol of formula units; symmetry = No. 6
1.0
3.674 0.024 0.013
-0.031 4.753 0.056
-0.013 -1.239 5.748
Mn Cd Si
2 2 2
direct
0.160 0.106 0.507
0.660 0.423 0.729
0.660 0.227 0.176
0.160 0.698 0.077
0.660 0.928 0.713
0.160 0.612 0.540


No. 8
Sm4Dy5Tm3 (GGA-PBE, relaxed); symmetry = No. 12; formation enthalpy at 0 K = 22.59 kJ per mole of atoms
1.0
5.882 0.000 0.000
2.941 7.574 -2.678
2.941 -0.864 9.125
Dy Tm Sm
5 3 4
direct
0.369 0.059 0.203
0.787 0.541 0.885
0.500 0.500 0.500
0.631 0.941 0.797
0.213 0.459 0.115
0.000 0.500 0.500
0.523 0.688 0.266
0.477 0.312 0.734
0.836 0.948 0.380
0.861 0.222 0.056
0.139 0.778 0.944
0.164 0.052 0.620


No. 9
In2RuBr (GGA-PBE, relaxed); relative energy among the computed polymorphs = 350 meV per atom; energy relative to the elements, uncorrected = 101 kJ/mol of formula units; symmetry = No. 160
1.0
-3.269 -7.428 -5.726
-1.603 -9.185 -3.425
-4.755 -8.242 -2.848
Ru Br In
1 1 2
direct
0.499 0.499 0.499
0.774 0.774 0.774
0.235 0.235 0.235
0.993 0.993 0.993


No. 10
ZnInAuCl (GGA-PBE, relaxed); relative energy among the computed polymorphs = 39 meV per atom; energy relative to the elements, uncorrected = -139 kJ/mol of formula units; symmetry = No. 8
1.0
7.980 0.000 -0.055
0.000 4.866 0.000
-1.454 0.000 4.645
In Au Zn Cl
2 2 2 2
direct
0.117 0.000 0.242
0.117 0.500 0.742
0.385 0.000 0.876
0.385 0.500 0.376
0.537 0.500 0.952
0.537 0.000 0.452
0.838 0.000 0.601
0.838 0.500 0.101


No. 11
NaCuGe2 (GGA-PBE, relaxed); relative energy among the computed polymorphs = 29 meV per atom; symmetry = No. 166; formation enthalpy at 0 K = -2.40 kJ per mole of atoms
1.0
-4.094 0.045 -0.211
-2.074 -3.520 -0.337
-2.357 -1.532 5.570
Ge Na Cu
2 1 1
direct
0.713 0.713 0.861
0.287 0.287 0.139
0.500 0.500 0.500
0.000 0.000 0.000


No. 12
SbTe2MoI (GGA-PBE, relaxed); relative energy among the computed polymorphs = 250 meV per atom; energy relative to the elements, uncorrected = 265 kJ/mol of formula units; symmetry = No. 123
1.0
5.299 0.000 0.000
0.000 5.299 0.000
0.000 0.000 5.415
Mo Sb Te I
1 1 2 1
direct
0.000 0.000 0.000
0.500 0.500 0.500
0.500 0.000 0.000
0.000 0.500 0.000
0.000 0.000 0.500